Entry 1:
## Li4Tb3DyTe8 (PBE-GGA)

Data for a relaxed structure of Li4Tb3DyTe8.

Cell and atoms, written as POSCAR:
```
Li4Tb3DyTe8
1.0
4.353 2.513 7.066
-4.353 2.513 7.066
0.000 -5.026 7.066
Li Tb Dy Te
4 3 1 8
Direct
0.000 0.000 0.000
0.000 0.500 0.500
0.500 0.000 0.500
0.500 0.500 0.000
0.000 0.000 0.500
0.000 0.500 0.000
0.500 0.000 0.000
0.500 0.500 0.500
0.249 0.249 0.747
0.249 0.747 0.249
0.252 0.252 0.252
0.253 0.751 0.751
0.747 0.249 0.249
0.748 0.748 0.748
0.751 0.253 0.751
0.751 0.751 0.253
```

Results
formation energy (no corrections)	-1.2951	eV/atom
magnetization	0.0	Bohr magnetons per cell
density	6.04	g/cm³

***

Entry 2:
## ZrNbTl2O6 (PBE-GGA)

Data for a relaxed structure of ZrNbTl2O6.

Cell and atoms, written as POSCAR:
```
ZrNbTl2O6
1.0
0.000 4.156 4.156
4.156 0.000 4.156
4.156 4.156 0.000
Zr Nb Tl O
1 1 2 6
Direct
0.000 0.000 0.000
0.500 0.500 0.500
0.250 0.250 0.250
0.750 0.750 0.750
0.256 0.256 0.744
0.256 0.744 0.256
0.256 0.744 0.744
0.744 0.256 0.256
0.744 0.256 0.744
0.744 0.744 0.256
```

Results
formation energy (no corrections)	-2.0487	eV/atom
magnetization	0.0	Bohr magnetons per cell
density	7.97	g/cm³